Entry from the Alexandria database: ZnOsSe2 after structural relaxation (PBE). Values from VASP.

Summary:
Space-group type   Imm2
ΔE_f (raw)   322 meV per atom
Final energy   -4.546 eV per atom

The structure in Quantum ESPRESSO input format:
```
&SYSTEM
  ibrav = 0, nat = 4, ntyp = 3
/
ATOMIC_SPECIES
Os 190.23 Os.upf
Se 78.96 Se.upf
Zn 65.41 Zn.upf
CELL_PARAMETERS angstrom
-5.8379 1.0023 -2.6131
-5.6421 -3.1279 0.5445
5.1028 3.1980 2.3765
ATOMIC_POSITIONS crystal
Os 0.2282 0.7282 0.5000
Se 0.0596 0.0596 0.0000
Se 0.7812 0.2812 0.5000
Zn 0.4310 0.4310 0.0000
```

***

Entry from the Alexandria database: Sc3Ir2Os after structural relaxation (PBE). Values from VASP.

Summary:
Space-group type   P4/mmm
ΔE_f   -78.8 kJ/mol of atoms
Final energy   -8.808 eV per atom

The structure in Quantum ESPRESSO input format:
```
&SYSTEM
  ibrav = 0, nat = 6, ntyp = 3
/
ATOMIC_SPECIES
Sc 44.96 Sc.upf
Ir 192.22 Ir.upf
Os 190.23 Os.upf
CELL_PARAMETERS angstrom
3.2080 0.0000 0.0000
0.0000 3.2080 0.0000
0.0000 0.0000 9.7472
ATOMIC_POSITIONS crystal
Sc 0.0000 0.0000 0.0000
Sc 0.0000 0.0000 0.6623
Sc 0.0000 0.0000 0.3377
Ir 0.5000 0.5000 0.8340
Ir 0.5000 0.5000 0.1660
Os 0.5000 0.5000 0.5000
```

***

Entry from the Alexandria database: Nb2ZnCCl after structural relaxation (PBE). Values from VASP.

Summary:
Space-group type   P4/mmm
ΔE_f (raw)   777 meV per atom
Final energy   -5.719 eV per atom

The structure in Quantum ESPRESSO input format:
```
&SYSTEM
  ibrav = 0, nat = 5, ntyp = 4
/
ATOMIC_SPECIES
C 12.01 C.upf
Nb 92.91 Nb.upf
Zn 65.41 Zn.upf
Cl 35.45 Cl.upf
CELL_PARAMETERS angstrom
4.2359 0.0000 0.0000
0.0000 5.1688 0.0000
0.0000 0.0000 4.2359
ATOMIC_POSITIONS crystal
C 0.0000 0.0000 0.0000
Nb 0.0000 0.0000 0.5000
Nb 0.5000 0.0000 0.0000
Zn 0.5000 0.5000 0.5000
Cl 0.0000 0.5000 0.0000
```

***

Entry from the Alexandria database: ZnCu2Br4 after structural relaxation (PBE). Values from VASP.

Summary:
Energy relative to the lowest polymorph listed for this composition   0 meV/atom
Space-group type   P-42m
ΔE_f (raw)   -511 meV per atom
Final energy   -2.820 eV per atom

The structure in Quantum ESPRESSO input format:
```
&SYSTEM
  ibrav = 0, nat = 7, ntyp = 3
/
ATOMIC_SPECIES
Zn 65.41 Zn.upf
Cu 63.55 Cu.upf
Br 79.90 Br.upf
CELL_PARAMETERS angstrom
5.7315 0.0000 0.0000
0.0000 5.7315 0.0000
0.0000 0.0000 5.6037
ATOMIC_POSITIONS crystal
Zn 0.0000 0.0000 0.0000
Cu 0.5000 0.0000 0.5000
Cu 0.0000 0.5000 0.5000
Br 0.7484 0.2516 0.7531
Br 0.2516 0.2516 0.2469
Br 0.2516 0.7484 0.7531
Br 0.7484 0.7484 0.2469
```

***

Entry from the Alexandria database: Na3P2Pt after structural relaxation (PBE). Values from VASP.

Summary:
Energy relative to the lowest polymorph listed for this composition   94 meV/atom
Space-group type   Cmcm
ΔE_f   -33.1 kJ/mol of atoms
Final energy   -3.813 eV per atom

The structure in Quantum ESPRESSO input format:
```
&SYSTEM
  ibrav = 0, nat = 12, ntyp = 3
/
ATOMIC_SPECIES
Na 22.99 Na.upf
P 30.97 P.upf
Pt 195.08 Pt.upf
CELL_PARAMETERS angstrom
6.5600 0.0000 0.0000
0.0000 6.3322 -0.4579
0.0000 -0.4616 6.3320
ATOMIC_POSITIONS crystal
Na 0.2500 0.9200 0.0800
Na 0.7500 0.0800 0.9200
Na 0.2500 0.0417 0.5593
Na 0.7500 0.9583 0.4407
Na 0.2500 0.4407 0.9583
Na 0.7500 0.5593 0.0417
P 0.0000 0.2894 0.2894
P 0.5000 0.7106 0.7106
P 0.0000 0.7106 0.7106
P 0.5000 0.2894 0.2894
Pt 0.2500 0.5237 0.4763
Pt 0.7500 0.4763 0.5237
```

***

Entry from the Alexandria database: Tb2CoGe2 after structural relaxation (PBE). Values from VASP.

Summary:
Space-group type   C2/m
ΔE_f   -59.3 kJ/mol of atoms
Final energy   -5.735 eV per atom

The structure in Quantum ESPRESSO input format:
```
&SYSTEM
  ibrav = 0, nat = 10, ntyp = 3
/
ATOMIC_SPECIES
Tb 158.93 Tb.upf
Co 58.93 Co.upf
Ge 72.64 Ge.upf
CELL_PARAMETERS angstrom
2.0847 6.8631 0.0035
-2.0847 6.8631 0.0035
0.0000 1.1536 7.3777
ATOMIC_POSITIONS crystal
Tb 0.6380 0.6380 0.4181
Tb 0.1322 0.1322 0.9921
Tb 0.8678 0.8678 0.0079
Tb 0.3620 0.3620 0.5819
Co 0.4708 0.4708 0.1665
Co 0.5292 0.5292 0.8335
Ge 0.0144 0.0144 0.6687
Ge 0.2782 0.2782 0.2507
Ge 0.7218 0.7218 0.7493
Ge 0.9856 0.9856 0.3313
```

***

Entry from the Alexandria database: SrThTiN3 after structural relaxation (PBE). Values from VASP.

Summary:
Space-group type   P2_1/m
ΔE_f (raw)   -1250 meV per atom
Final energy   -8.245 eV per atom

The structure in Quantum ESPRESSO input format:
```
&SYSTEM
  ibrav = 0, nat = 12, ntyp = 4
/
ATOMIC_SPECIES
Sr 87.62 Sr.upf
Th 232.04 Th.upf
Ti 47.87 Ti.upf
N 14.01 N.upf
CELL_PARAMETERS angstrom
3.6970 0.0000 0.0000
0.0000 7.5272 0.9179
0.0000 -1.8956 7.6899
ATOMIC_POSITIONS crystal
Sr 0.7500 0.8413 0.8271
Sr 0.2500 0.1587 0.1729
Th 0.2500 0.6301 0.1711
Th 0.7500 0.3699 0.8289
Ti 0.2500 0.0988 0.5927
Ti 0.7500 0.9012 0.4073
N 0.2500 0.8417 0.4791
N 0.7500 0.8677 0.1627
N 0.7500 0.4190 0.1235
N 0.7500 0.1583 0.5209
N 0.2500 0.5810 0.8765
N 0.2500 0.1323 0.8373
```

***

Entry from the Alexandria database: TiGePd after structural relaxation (PBE). Values from VASP.

Summary:
Space-group type   P-6m2
ΔE_f   -61.4 kJ/mol of atoms
Final energy   -6.538 eV per atom

The structure in Quantum ESPRESSO input format:
```
&SYSTEM
  ibrav = 0, nat = 3, ntyp = 3
/
ATOMIC_SPECIES
Ge 72.64 Ge.upf
Pd 106.42 Pd.upf
Ti 47.87 Ti.upf
CELL_PARAMETERS angstrom
2.9440 0.0000 0.0000
0.0000 4.2966 0.0000
0.0000 -2.1483 3.7210
ATOMIC_POSITIONS crystal
Ge 0.1667 0.0000 0.0000
Pd 0.1667 0.6667 0.3333
Ti 0.6665 0.3333 0.6667
```

***

Total magnetic moment
In order: 0.00 0.00 0.00 0.00 0.00 2.21 0.00 0.00
Unit: Bohr magnetons per cell